Entry 1:
## ScCoAu2Se (PBE)

Data for ScCoAu2Se after structural relaxation.

Unit cell a=4.8646 b=4.3282 c=4.8646 alpha=90.00 beta=90.00 gamma=90.00
Fractional coordinates of all 5 atoms:
Sc1 0.5000 0.5000 0.5000
Co1 0.0000 0.0000 0.0000
Au1 0.0000 0.0000 0.5000
Au2 0.5000 0.0000 0.0000
Se1 0.0000 0.5000 0.0000

Summary:
* energy: -4.65 eV/atom
* symmetry: P4/mmm, No. 123
* DOS at the Fermi energy: 2.70 states/eV/f.u.
* theoretical density: 9.4 Mg/m³
* energy relative to the elements, uncorrected: 0.230 eV/f.u.
* V: 20.48 A^3/atom



Entry 2:
## ScCoSiAu2 (PBE)

Data for ScCoSiAu2 after structural relaxation.

Unit cell a=5.0120 b=5.0141 c=5.0120 alpha=90.00 beta=90.00 gamma=90.00
Fractional coordinates of all 5 atoms:
Sc1 0.0000 0.0000 0.0000
Co1 0.5000 0.5000 0.5000
Si1 0.0000 0.5000 0.0000
Au1 0.0000 0.0000 0.5000
Au2 0.5000 0.0000 0.0000

Summary:
* energy: -3.91 eV/atom
* symmetry: P4/mmm, No. 123
* DOS at the Fermi energy: 8.17 states/eV/f.u.
* theoretical density: 6.9 Mg/m³
* energy relative to the elements, uncorrected: 5.862 eV/f.u.
* V: 25.19 A^3/atom



Entry 3:
## ScCoSnAu (PBE)

Data for ScCoSnAu after structural relaxation.

Unit cell a=4.6380 b=4.6380 c=4.6380 alpha=60.00 beta=60.00 gamma=60.00
Fractional coordinates of all 4 atoms:
Sc1 0.7500 0.7500 0.7500
Co1 0.5000 0.5000 0.5000
Au1 0.0000 0.0000 0.0000
Sn1 0.2500 0.2500 0.2500

Summary:
* energy: -5.51 eV/atom
* energy relative to the elements: -0.33 eV per atom
* symmetry: F-43m, No. 216
* DOS at the Fermi energy: 3.68 states/eV/f.u.
* theoretical density: 9.9 Mg/m³
* V: 17.64 A^3/atom



Entry 4:
## ScTiCoAu (PBE)

Data for ScTiCoAu after structural relaxation.

Unit cell a=4.5422 b=4.5422 c=4.5422 alpha=60.00 beta=60.00 gamma=60.00
Fractional coordinates of all 4 atoms:
Sc1 0.7500 0.7500 0.7500
Co1 0.0000 0.0000 0.0000
Au1 0.5000 0.5000 0.5000
Ti1 0.2500 0.2500 0.2500

Summary:
* energy: -6.50 eV/atom
* energy relative to the elements: -0.34 eV per atom
* symmetry: F-43m, No. 216
* DOS at the Fermi energy: 4.07 states/eV/f.u.
* theoretical density: 8.7 Mg/m³
* V: 16.57 A^3/atom